This record from Alexandria describes a relaxed structure of Pm4Pr6Er. The functional is PBE.

The structure belongs to space group I-42m (No. 121); the cell edges are 6.7162, 6.7162 and 17.5912 Å and the angles 90.00°, 90.00° and 90.00°. Symmetry generates all atoms from Pm at (0.1881, 0.1881, 0.3233), Pr at (0.0000, 0.5000, 0.0000), Pr at (0.1784, 0.1784, 0.1304) and Er at (0.0000, 0.0000, 0.5000).

Its total magnetic moment is 0.00 μB/cell. The calculation puts the electronic total energy at -98.47 eV per cell. The value obtained for the formation energy is 273 meV/atom.